# Nd2TeO6 | Alexandria | PBEsol | optimized geometry
data_Nd2TeO6
_cell_length_a 5.426
_cell_length_b 9.305
_cell_length_c 10.174
_cell_angle_alpha 90.00
_cell_angle_beta 90.00
_cell_angle_gamma 90.00
_space_group_name_H-M_alt 'P 1'
_space_group_IT_number 1
_space_group_name_Hall 'P 1'
loop_
_atom_site_label
_atom_site_type_symbol
_atom_site_fract_x
_atom_site_fract_y
_atom_site_fract_z
_atom_site_occupancy
Nd1 Nd 0.027 0.104 0.460 1
Nd2 Nd 0.527 0.396 0.540 1
Nd3 Nd 0.973 0.604 0.040 1
Nd4 Nd 0.473 0.896 0.960 1
Nd5 Nd 0.034 0.217 0.864 1
Nd6 Nd 0.534 0.283 0.136 1
Nd7 Nd 0.966 0.717 0.636 1
Nd8 Nd 0.466 0.783 0.364 1
Te1 Te 0.542 0.005 0.644 1
Te2 Te 0.042 0.495 0.356 1
Te3 Te 0.458 0.505 0.856 1
Te4 Te 0.958 0.995 0.144 1
O1 O 0.251 0.412 0.991 1
O2 O 0.751 0.088 0.009 1
O3 O 0.749 0.912 0.509 1
O4 O 0.249 0.588 0.491 1
O5 O 0.223 0.111 0.065 1
O6 O 0.723 0.389 0.935 1
O7 O 0.777 0.611 0.435 1
O8 O 0.277 0.889 0.565 1
O9 O 0.311 0.361 0.323 1
O10 O 0.811 0.139 0.677 1
O11 O 0.689 0.861 0.177 1
O12 O 0.189 0.639 0.823 1
O13 O 0.167 0.946 0.288 1
O14 O 0.667 0.554 0.712 1
O15 O 0.833 0.446 0.212 1
O16 O 0.333 0.054 0.788 1
O17 O 0.180 0.638 0.241 1
O18 O 0.680 0.862 0.759 1
O19 O 0.820 0.138 0.259 1
O20 O 0.320 0.362 0.741 1
O21 O 0.068 0.850 0.022 1
O22 O 0.568 0.650 0.978 1
O23 O 0.932 0.350 0.478 1
O24 O 0.432 0.150 0.522 1
# **Final energy**: -0.27777 hartree per atom
# **Total magnetic moment**: 0.000 μB/cell
# **Formation energy (no corrections)**: -2.519 eV per atom
# **Crystal system**: orthorhombic

=====

# Ta2ZnMo | Alexandria | PBEsol | optimized geometry
data_Ta2ZnMo
_cell_length_a 2.687
_cell_length_b 4.315
_cell_length_c 5.624
_cell_angle_alpha 90.00
_cell_angle_beta 90.00
_cell_angle_gamma 90.00
_space_group_name_H-M_alt 'P 1'
_space_group_IT_number 1
_space_group_name_Hall 'P 1'
loop_
_atom_site_label
_atom_site_type_symbol
_atom_site_fract_x
_atom_site_fract_y
_atom_site_fract_z
_atom_site_occupancy
Mo1 Mo 0.500 0.500 0.749 1
Ta1 Ta 0.000 0.000 0.993 1
Ta2 Ta 0.500 0.500 0.258 1
Zn1 Zn 0.000 0.000 0.500 1
# **Energy of formation**: 0.201 eV per atom
# **Final energy**: -0.34589 hartree per atom
# **Total magnetic moment**: 0.000 μB/cell
# **Crystal system**: orthorhombic